# 1
PmNbGa2 | PBE | relaxed

Values from the calculation:
Energy of formation from the pure elements, eV per atom: -0.070
Energy above the lowest structure with this stoichiometry, eV/atom: 0.262

```
data_PmNbGa2
_chemical_formula_sum 'Pm3 Nb3 Ga6'
_cell_length_a 3.1486
_cell_length_b 3.1486
_cell_length_c 28.9856
_cell_angle_alpha 90.00
_cell_angle_beta 90.00
_cell_angle_gamma 120.00
_symmetry_space_group_name_H-M 'R -3 m'
_symmetry_Int_Tables_number 166
_symmetry_space_group_name_Hall '-R 3 2"'
loop_
_atom_site_label
_atom_site_fract_x
_atom_site_fract_y
_atom_site_fract_z
Pm1 0.0000 0.0000 0.0000
Nb1 0.0000 0.0000 0.5000
Ga1 0.0000 0.0000 0.2422
```

---

# 2
Pm2ErTcO8 | PBE | relaxed

Values from the calculation:
Formation energy (no corrections), eV/atom: -2.558

```
data_Pm2ErTcO8
_chemical_formula_sum 'Pm4 Er2 Tc2 O16'
_cell_length_a 7.217
_cell_length_b 7.332
_cell_length_c 6.820
_cell_angle_alpha 90.00
_cell_angle_beta 90.00
_cell_angle_gamma 90.00
_symmetry_space_group_name_H-M 'C m m m'
_symmetry_Int_Tables_number 65
_symmetry_space_group_name_Hall '-C 2 2'
loop_
_atom_site_label
_atom_site_fract_x
_atom_site_fract_y
_atom_site_fract_z
Pm1 0.000 0.000 0.250
Er1 0.000 0.500 0.000
Tc1 0.000 0.500 0.500
O1 0.000 0.323 0.291
O2 0.200 0.000 0.000
O3 0.239 0.000 0.500
```

---

# 3
AgAuCl | PBE | relaxed

Values from the calculation:
Energy above the lowest structure with this stoichiometry, eV/atom: 0.025
Formation energy (no corrections), eV/atom: 0.018

```
data_AgAuCl
_chemical_formula_sum 'Ag4 Au4 Cl4'
_cell_length_a 3.419
_cell_length_b 5.522
_cell_length_c 12.598
_cell_angle_alpha 90.00
_cell_angle_beta 90.00
_cell_angle_gamma 90.00
_symmetry_space_group_name_H-M 'F m m 2'
_symmetry_Int_Tables_number 42
_symmetry_space_group_name_Hall 'F 2 -2'
loop_
_atom_site_label
_atom_site_fract_x
_atom_site_fract_y
_atom_site_fract_z
Ag1 0.000 0.000 0.000
Au1 0.000 0.000 0.669
Cl1 0.000 0.000 0.342
```

---

# 4
Ba2FePb | PBE | relaxed

Values from the calculation:
Energy of formation from the pure elements, eV per atom: 0.137
Energy above the lowest structure with this stoichiometry, eV/atom: 0.043

```
data_Ba2FePb
_chemical_formula_sum 'Ba4 Fe2 Pb2'
_cell_length_a 4.062
_cell_length_b 5.720
_cell_length_c 11.998
_cell_angle_alpha 90.00
_cell_angle_beta 90.00
_cell_angle_gamma 90.00
_symmetry_space_group_name_H-M 'I m m 2'
_symmetry_Int_Tables_number 44
loop_
_symmetry_equiv_pos_as_xyz
'x,y,z'
'-x,-y,z'
'-x,y,z'
'x,-y,z'
'x+1/2,y+1/2,z+1/2'
'-x+1/2,-y+1/2,z+1/2'
'-x+1/2,y+1/2,z+1/2'
'x+1/2,-y+1/2,z+1/2'
loop_
_atom_site_label
_atom_site_fract_x
_atom_site_fract_y
_atom_site_fract_z
Ba1 0.000 0.000 0.000
Ba2 0.000 0.500 0.193
Fe1 0.000 0.500 0.758
Pb1 0.000 0.000 0.410
```

---

# 5
ZnNi2Rh | PBE | relaxed

Values from the calculation:
Energy of formation from the pure elements, eV per atom: -0.111

```
data_ZnNi2Rh
_chemical_formula_sum 'Zn2 Ni4 Rh2'
_cell_length_a 8.564
_cell_length_b 2.657
_cell_length_c 4.464
_cell_angle_alpha 90.00
_cell_angle_beta 101.03
_cell_angle_gamma 90.00
_symmetry_space_group_name_H-M 'C 1 m 1'
_symmetry_Int_Tables_number 8
loop_
_symmetry_equiv_pos_as_xyz
'x,y,z'
'x,-y,z'
'x+1/2,y+1/2,z'
'x+1/2,-y+1/2,z'
loop_
_atom_site_label
_atom_site_fract_x
_atom_site_fract_y
_atom_site_fract_z
Zn1 0.000 0.000 0.000
Ni1 0.249 0.500 0.238
Ni2 0.496 0.000 0.487
Rh1 0.245 0.000 0.726
```

---

# 6
K2YInF6 | PBE | relaxed

Values from the calculation:
Formation energy (no corrections), eV/atom: -3.013

```
data_K2YInF6
_chemical_formula_sum 'K8 Y4 In4 F24'
_cell_length_a 9.539
_cell_length_b 9.539
_cell_length_c 9.539
_cell_angle_alpha 90.00
_cell_angle_beta 90.00
_cell_angle_gamma 90.00
_symmetry_space_group_name_H-M 'F m -3 m'
_symmetry_Int_Tables_number 225
_symmetry_space_group_name_Hall '-F 4 2 3'
loop_
_atom_site_label
_atom_site_fract_x
_atom_site_fract_y
_atom_site_fract_z
K1 0.250 0.250 0.250
Y1 0.000 0.000 0.000
In1 0.000 0.000 0.500
F1 0.000 0.000 0.229
```

---

# 7
UTaZn4 | PBE | relaxed

Values from the calculation:
Energy of formation from the pure elements, eV per atom: 0.121

```
data_UTaZn4
_chemical_formula_sum 'U4 Ta4 Zn16'
_cell_length_a 7.413
_cell_length_b 7.413
_cell_length_c 7.413
_cell_angle_alpha 90.00
_cell_angle_beta 90.00
_cell_angle_gamma 90.00
_symmetry_space_group_name_H-M 'F -4 3 m'
_symmetry_Int_Tables_number 216
_symmetry_space_group_name_Hall 'F -4 2 3'
loop_
_atom_site_label
_atom_site_fract_x
_atom_site_fract_y
_atom_site_fract_z
U1 0.000 0.000 0.000
Ta1 0.250 0.250 0.750
Zn1 0.124 0.124 0.376
```

---

# 8
MgZn2Mo | PBE | relaxed

Values from the calculation:
Energy of formation from the pure elements, eV per atom: 0.273

```
data_MgZn2Mo
_chemical_formula_sum 'Mg2 Zn4 Mo2'
_cell_length_a 2.935
_cell_length_b 4.701
_cell_length_c 9.354
_cell_angle_alpha 90.00
_cell_angle_beta 90.00
_cell_angle_gamma 90.00
_symmetry_space_group_name_H-M 'I m m m'
_symmetry_Int_Tables_number 71
_symmetry_space_group_name_Hall '-I 2 2'
loop_
_atom_site_label
_atom_site_fract_x
_atom_site_fract_y
_atom_site_fract_z
Mg1 0.000 0.000 0.000
Zn1 0.000 0.500 0.245
Mo1 0.000 0.000 0.500
```